This record from Alexandria describes a relaxed YInPb crystal. The functional is PBE-GGA.

a = 6.5611 Å, b = 6.3371 Å, c = 3.8425 Å
α = 75.89°, β = 69.51°, γ = 34.61°
Closest atoms and distances in Å follow each position.
Element x y z (fractional)
Y (0.0000, 0.0000, 0.0000)  2 In 3.12, 2 Pb 3.19
In (0.3331, 0.3331, 0.6669)  2 Pb 3.05, 2 Y 3.12
Pb (0.6757, 0.6757, 0.3243)  2 In 3.05, 2 Y 3.19

Summary:
Energy above the lowest structure with this stoichiometry in meV per atom: 145
Calculated formation energy in eV/atom: -0.2504